1.
Below is a PBEsol-optimized structure of Sr3P, with properties calculated at the meta-GGA SCAN level.

Results
E_form   -0.70 eV/atom
Energy above the most stable polymorph in this dataset   2.0 kJ/mol of atoms
Space-group type   No. 62
Calculated total energy   -1.47015 Ry per atom

abc: 7.822 10.960 7.052
angles: 90.00 90.00 90.00
Element x y z (fractional)
1 Sr 0.055 0.250 0.176
2 Sr 0.171 0.078 0.686
3 Sr 0.171 0.422 0.686
4 Sr 0.329 0.578 0.186
5 Sr 0.329 0.922 0.186
6 Sr 0.445 0.750 0.676
7 Sr 0.555 0.250 0.324
8 Sr 0.671 0.078 0.814
9 Sr 0.671 0.422 0.814
10 Sr 0.829 0.578 0.314
11 Sr 0.829 0.922 0.314
12 Sr 0.945 0.750 0.824
13 P 0.118 0.750 0.432
14 P 0.382 0.250 0.932
15 P 0.618 0.750 0.068
16 P 0.882 0.250 0.568

***

2.
Below is a PBEsol-optimized structure of SrP, with properties calculated at the meta-GGA SCAN level.

Results
E_form   -0.81 eV/atom
Space-group type   No. 221
Calculated total energy   -1.26045 Ry per atom

abc: 3.671 3.671 3.671
angles: 90.00 90.00 90.00
Element x y z (fractional)
1 Sr 0.000 0.000 0.000
2 P 0.500 0.500 0.500

***

3.
Below is a PBEsol-optimized structure of Sr3P2, with properties calculated at the meta-GGA SCAN level.

Results
E_form   -0.79 eV/atom
Energy above the most stable polymorph in this dataset   42.8 kJ/mol of atoms
Space-group type   No. 221
Calculated total energy   -1.34575 Ry per atom

abc: 5.600 5.600 5.600
angles: 90.00 90.00 90.00
Element x y z (fractional)
1 Sr 0.000 0.000 0.500
2 Sr 0.000 0.500 0.000
3 Sr 0.500 0.000 0.000
4 P 0.000 0.000 0.000
5 P 0.500 0.500 0.500

***

4.
Below is a PBEsol-optimized structure of Sr3P, with properties calculated at the meta-GGA SCAN level.

Results
E_form   -0.63 eV/atom
Energy above the most stable polymorph in this dataset   8.0 kJ/mol of atoms
Space-group type   No. 44
Calculated total energy   -1.46557 Ry per atom

abc: 7.159 7.159 7.159
angles: 147.43 69.92 120.04
Element x y z (fractional)
1 Sr 0.000 0.000 0.000
2 Sr 0.375 0.539 0.836
3 Sr 0.703 0.539 0.164
4 P 0.695 0.195 0.500

***

5.
Below is a PBEsol-optimized structure of Sr3P2, with properties calculated at the meta-GGA SCAN level.

Results
E_form   -1.23 eV/atom
Energy above the most stable polymorph in this dataset   0.0 kJ/mol of atoms
Space-group type   No. 122
Calculated total energy   -1.37836 Ry per atom

abc: 15.257 15.257 15.257
angles: 144.80 144.80 50.64
Element x y z (fractional)
1 Sr 0.072 0.449 0.240
2 Sr 0.168 0.928 0.377
3 Sr 0.183 0.437 0.582
4 Sr 0.187 0.433 0.082
5 Sr 0.199 0.322 0.740
6 Sr 0.209 0.832 0.760
7 Sr 0.253 0.126 0.250
8 Sr 0.350 0.105 0.918
9 Sr 0.400 0.817 0.255
10 Sr 0.497 0.246 0.372
11 Sr 0.541 0.801 0.123
12 Sr 0.551 0.791 0.623
13 Sr 0.563 0.145 0.745
14 Sr 0.567 0.650 0.755
15 Sr 0.582 0.459 0.260
16 Sr 0.678 0.418 0.877
17 Sr 0.754 0.126 0.250
18 Sr 0.855 0.600 0.418
19 Sr 0.874 0.124 0.128
20 Sr 0.874 0.124 0.628
21 Sr 0.876 0.004 0.750
22 Sr 0.876 0.503 0.750
23 Sr 0.895 0.813 0.245
24 Sr 0.996 0.747 0.872
25 P 0.048 0.142 0.615
26 P 0.164 0.164 0.000
27 P 0.184 0.777 0.885
28 P 0.223 0.108 0.406
29 P 0.254 0.625 0.129
30 P 0.375 0.504 0.629
31 P 0.496 0.125 0.871
32 P 0.527 0.434 0.385
33 P 0.566 0.952 0.094
34 P 0.586 0.086 0.500
35 P 0.702 0.816 0.594
36 P 0.836 0.836 0.000
37 P 0.858 0.473 0.906
38 P 0.875 0.746 0.371
39 P 0.892 0.298 0.115
40 P 0.914 0.414 0.500

***

6.
Below is a PBEsol-optimized structure of SrP, with properties calculated at the meta-GGA SCAN level.

Results
E_form   -1.11 eV/atom
Space-group type   No. 12
Calculated total energy   -1.28232 Ry per atom

abc: 5.809 5.809 4.511
angles: 98.65 98.65 42.88
Element x y z (fractional)
1 Sr 0.131 0.131 0.235
2 Sr 0.869 0.869 0.765
3 P 0.414 0.414 0.321
4 P 0.586 0.586 0.679

***

7.
Below is a PBEsol-optimized structure of SrP2, with properties calculated at the meta-GGA SCAN level.

Results
E_form   -0.92 eV/atom
Space-group type   No. 14
Calculated total energy   -1.12307 Ry per atom

abc: 6.065 11.718 7.373
angles: 90.00 126.49 90.00
Element x y z (fractional)
1 Sr 0.000 0.000 0.000
2 Sr 0.000 0.500 0.500
3 Sr 0.286 0.169 0.683
4 Sr 0.286 0.331 0.183
5 Sr 0.714 0.669 0.817
6 Sr 0.714 0.831 0.317
7 P 0.162 0.697 0.337
8 P 0.162 0.803 0.837
9 P 0.306 0.626 0.944
10 P 0.306 0.874 0.444
11 P 0.435 0.597 0.295
12 P 0.435 0.903 0.795
13 P 0.565 0.097 0.205
14 P 0.565 0.403 0.705
15 P 0.694 0.126 0.556
16 P 0.694 0.374 0.056
17 P 0.838 0.197 0.163
18 P 0.838 0.303 0.663

***

8.
Below is a PBEsol-optimized structure of SrP2, with properties calculated at the meta-GGA SCAN level.

Results
E_form   -0.65 eV/atom
Space-group type   No. 164
Calculated total energy   -1.10268 Ry per atom

abc: 4.185 4.185 4.267
angles: 90.00 90.00 120.00
Element x y z (fractional)
1 Sr 0.000 0.000 0.000
2 P 0.333 0.667 0.468
3 P 0.667 0.333 0.532

***

9.
Below is a PBEsol-optimized structure of SrTaP2, with properties calculated at the meta-GGA SCAN level.

Results
E_form   -0.02 eV/atom
Energy above the most stable polymorph in this dataset   64.7 kJ/mol of atoms
Space-group type   No. 123
Calculated total energy   -2.01645 Ry per atom

abc: 5.000 5.000 2.904
angles: 90.00 90.00 90.00
Element x y z (fractional)
1 Sr 0.000 0.000 0.000
2 Ta 0.500 0.500 0.000
3 P 0.000 0.500 0.500
4 P 0.500 0.000 0.500

***

10.
Below is a PBEsol-optimized structure of SrTaP2, with properties calculated at the meta-GGA SCAN level.

Results
E_form   -0.69 eV/atom
Energy above the most stable polymorph in this dataset   0.0 kJ/mol of atoms
Space-group type   No. 44
Calculated total energy   -2.06573 Ry per atom

abc: 7.368 7.368 7.368
angles: 153.67 152.47 38.46
Element x y z (fractional)
1 Sr 0.000 0.000 0.000
2 Ta 0.250 0.750 0.500
3 P 0.379 0.379 0.000
4 P 0.683 0.183 0.500

***

11.
Below is a PBEsol-optimized structure of Sr2TaP, with properties calculated at the meta-GGA SCAN level.

Results
E_form   0.35 eV/atom
Space-group type   No. 47
Calculated total energy   -2.20760 Ry per atom

abc: 3.144 3.268 9.542
angles: 90.00 90.00 90.00
Element x y z (fractional)
1 Sr 0.000 0.000 0.216
2 Sr 0.000 0.000 0.784
3 Ta 0.500 0.500 0.500
4 P 0.500 0.500 0.000

***

12.
Below is a PBEsol-optimized structure of Sr2TaP, with properties calculated at the meta-GGA SCAN level.

Results
E_form   -0.08 eV/atom
Space-group type   No. 71
Calculated total energy   -2.23902 Ry per atom

abc: 9.356 9.356 9.356
angles: 158.52 157.47 31.33
Element x y z (fractional)
1 Sr 0.153 0.153 0.000
2 Sr 0.847 0.847 0.000
3 Ta 0.500 0.000 0.500
4 P 0.000 0.500 0.500

***

Which of these has the highest E_form? number 11